Entry one
Density functional theory data (PBE) for a geometry-optimized YTe2CI structure.

Cell lengths 5.9542, 5.9542, 5.9040 Å; angles 90.00, 90.00, 90.00 degrees
Last column: nearest neighbours and their distance in Å.
Element x y z (fractional)
1 C 0.5000 0.5000 0.5000  8 Te 4.19, 4 I 4.21
2 Y 0.0000 0.0000 0.0000  2 I 2.95, 4 Te 2.98
3 Te 0.0000 0.5000 0.0000  2 Y 2.98
4 Te 0.5000 0.0000 0.0000  2 Y 2.98
5 I 0.0000 0.0000 0.5000  2 Y 2.95

Output
Fermi-level density of states (states/eV/f.u.): 6.65
Density (Mg/m³): 3.83

Entry two
Density functional theory data (PBE) for a geometry-optimized YTe2CI structure.

Cell lengths 4.8858, 4.8858, 5.0469 Å; angles 90.00, 90.00, 90.00 degrees
Last column: nearest neighbours and their distance in Å.
Element x y z (fractional)
1 Te 0.5000 0.0000 0.0000  2 C 2.44
2 C 0.0000 0.0000 0.0000  4 Te 2.44, 2 I 2.52
3 Y 0.5000 0.5000 0.5000  4 I 3.45, 8 Te 3.51
4 I 0.0000 0.0000 0.5000  2 C 2.52
5 Te 0.0000 0.5000 0.0000  2 C 2.44

Output
Fermi-level density of states (states/eV/f.u.): 2.33
Density (Mg/m³): 6.66

Top of the stability list: entry two, leading by 652 meV/atom.